Entry 1:
The following is a DFT calculation (PBE-GGA) of crystalline LaNb2In at its relaxed geometry.

## Properties
E in eV/atom: -6.179
Energy of formation in eV/atom: 0.773
SG: I-42d
Total moment in μB per atom: 0.000

Lattice parameters (Å, degrees): 8.146 8.146 5.985 90.00 90.00 90.00
Atoms (fractional coordinates):
La 0.000 0.000 0.000
La 0.000 0.500 0.250
La 0.500 0.000 0.750
La 0.500 0.500 0.500
Nb 0.223 0.250 0.625
Nb 0.250 0.723 0.875
Nb 0.250 0.777 0.375
Nb 0.277 0.250 0.125
Nb 0.723 0.750 0.125
Nb 0.750 0.223 0.375
Nb 0.750 0.277 0.875
Nb 0.777 0.750 0.625
In 0.000 0.000 0.500
In 0.000 0.500 0.750
In 0.500 0.000 0.250
In 0.500 0.500 0.000

=====

Entry 2:
The following is a DFT calculation (PBE-GGA) of crystalline CoReNi2 at its relaxed geometry.

## Properties
Distance to the lowest polymorph of the same formula in meV per atom: 143
E in eV/atom: -7.629
Energy of formation in eV/atom: 0.150
SG: P4/mmm
Total moment in μB per atom: 0.389

Lattice parameters (Å, degrees): 3.565 3.565 3.705 90.00 90.00 90.00
Atoms (fractional coordinates):
Co 0.000 0.000 0.000
Re 0.500 0.500 0.000
Ni 0.000 0.500 0.500
Ni 0.500 0.000 0.500

=====

Entry 3:
The following is a DFT calculation (PBE-GGA) of crystalline Th2TlSb at its relaxed geometry.

## Properties
Distance to the lowest polymorph of the same formula in meV per atom: 0
Uncorrected formation energy in eV per atom: -0.444
E in eV/atom: -5.776
SG: P4/mmm
Total moment in μB per atom: 0.000

Lattice parameters (Å, degrees): 3.759 3.759 8.301 90.00 90.00 90.00
Atoms (fractional coordinates):
Th 0.000 0.000 0.234
Th 0.000 0.000 0.766
Tl 0.500 0.500 0.500
Sb 0.500 0.500 0.000

=====

Entry 4:
The following is a DFT calculation (PBE-GGA) of crystalline Pm8Si3PtBr4 at its relaxed geometry.

## Properties
Uncorrected formation energy in eV per atom: -1.088
E in eV/atom: -5.276
SG: R-3m
Total moment in μB per atom: 0.000

Lattice parameters (Å, degrees): 8.731 8.731 8.731 58.34 58.34 58.34
Atoms (fractional coordinates):
Pm 0.238 0.238 0.238
Pm 0.239 0.736 0.736
Pm 0.264 0.264 0.761
Pm 0.264 0.761 0.264
Pm 0.736 0.239 0.736
Pm 0.736 0.736 0.239
Pm 0.761 0.264 0.264
Pm 0.762 0.762 0.762
Si 0.000 0.000 0.500
Si 0.000 0.500 0.000
Si 0.500 0.000 0.000
Pt 0.500 0.500 0.500
Br 0.000 0.000 0.000
Br 0.000 0.500 0.500
Br 0.500 0.000 0.500
Br 0.500 0.500 0.000

=====

Entry 5:
The following is a DFT calculation (PBE-GGA) of crystalline Tl5P3 at its relaxed geometry.

## Properties
Distance to the lowest polymorph of the same formula in meV per atom: 0
E in eV/atom: -3.264
Energy of formation in eV/atom: 0.244
SG: C2/m
Total moment in μB per atom: 0.000

Lattice parameters (Å, degrees): 8.607 8.607 8.610 99.53 99.53 131.94
Atoms (fractional coordinates):
Tl 0.084 0.706 0.789
Tl 0.207 0.417 0.622
Tl 0.250 0.250 0.000
Tl 0.294 0.916 0.211
Tl 0.417 0.207 0.622
Tl 0.583 0.793 0.378
Tl 0.706 0.084 0.789
Tl 0.750 0.750 0.000
Tl 0.793 0.583 0.378
Tl 0.916 0.294 0.211
P 0.132 0.132 0.264
P 0.250 0.750 0.500
P 0.368 0.632 0.000
P 0.632 0.368 0.000
P 0.750 0.250 0.500
P 0.868 0.868 0.736

=====

Entry 6:
The following is a DFT calculation (PBE-GGA) of crystalline PmSbRh at its relaxed geometry.

## Properties
Distance to the lowest polymorph of the same formula in meV per atom: 93
Uncorrected formation energy in eV per atom: -0.906
E in eV/atom: -6.314
SG: P-6m2
Total moment in μB per atom: 0.000

Lattice parameters (Å, degrees): 4.591 4.591 3.808 90.00 90.00 120.00
Atoms (fractional coordinates):
Pm 0.000 0.000 0.000
Sb 0.333 0.667 0.500
Rh 0.667 0.333 0.500